# EuSnH, relaxed, DFT PBE-GGA
# Energy above the most stable polymorph in this dataset ... 0 meV/atom
data_EuSnH
_cell_length_a 3.7373
_cell_length_b 3.7373
_cell_length_c 5.4799
_cell_angle_alpha 90.00
_cell_angle_beta 90.00
_cell_angle_gamma 120.00
_symmetry_space_group_name_H-M 'P 3 m 1'
_symmetry_Int_Tables_number 156
loop_
_symmetry_equiv_pos_as_xyz
'x,y,z'
'-y,x-y,z'
'-x+y,-x,z'
'-y,-x,z'
'-x+y,y,z'
'x,x-y,z'
loop_
_atom_site_label
_atom_site_type_symbol
_atom_site_fract_x
_atom_site_fract_y
_atom_site_fract_z
Eu1 Eu 0.0000 0.0000 0.0000
Sn1 Sn 0.6667 0.3333 0.5000
H1 H 0.3333 0.6667 0.0040